# PWSCl2

A relaxed PWSCl2 crystal (PBE, Alexandria via LeMat-Bulk).

Cell: 4.584 4.584 4.989 Å, 90.00 90.00 90.00°
Space group P4/mmm (No. 123)
One atom of each set of equivalent atoms:
P: 0.000 0.000 0.000 [1 per cell]
W: 0.000 0.000 0.500 [1 per cell]
S: 0.500 0.500 0.000 [1 per cell]
Cl: 0.000 0.500 0.500 [2 per cell]

Results
ΔE to the lowest computed polymorph in meV per atom: 0
Density in g/cm³: 5.03
D(E_F) in states/eV/f.u.: 5.72
VASP energy in eV for the cell shown: -23.64
Raw formation energy in eV/atom: 0.51

=====

# Pr2SmHg

A relaxed Pr2SmHg crystal (PBE, Alexandria via LeMat-Bulk).

Cell: 3.767 3.767 9.038 Å, 90.00 90.00 90.00°
Space group P4/mmm (No. 123)
One atom of each set of equivalent atoms:
Pr: 0.000 0.000 0.222 [2 per cell]
Sm: 0.500 0.500 0.500 [1 per cell]
Hg: 0.500 0.500 0.000 [1 per cell]

Results
ΔE to the lowest computed polymorph in meV per atom: 0
Density in g/cm³: 8.19
Formation energy in eV/atom: -0.22
D(E_F) in states/eV/f.u.: 5.07
VASP energy in eV for the cell shown: -15.47

=====

# Mg3CoHg

A relaxed Mg3CoHg crystal (PBE, Alexandria via LeMat-Bulk).

Cell: 4.824 4.824 4.824 Å, 90.00 90.00 90.00°
Space group Pm-3m (No. 221)
One atom of each set of equivalent atoms:
Mg: 0.000 0.000 0.500 [3 per cell]
Co: 0.000 0.000 0.000 [1 per cell]
Hg: 0.500 0.500 0.500 [1 per cell]

Results
ΔE to the lowest computed polymorph in meV per atom: 0
Density in g/cm³: 4.92
Formation energy in eV/atom: 0.25
D(E_F) in states/eV/f.u.: 2.83
VASP energy in eV for the cell shown: -10.92

=====

# SrAlZnAg

A relaxed SrAlZnAg crystal (PBE, Alexandria via LeMat-Bulk).

Cell: 7.064 7.064 7.064 Å, 90.00 90.00 90.00°
Space group F-43m (No. 216)
One atom of each set of equivalent atoms:
Sr: 0.000 0.000 0.000 [4 per cell]
Al: 0.000 0.000 0.500 [4 per cell]
Zn: 0.250 0.250 0.750 [4 per cell]
Ag: 0.250 0.250 0.250 [4 per cell]

Results
Density in g/cm³: 5.43
Formation energy in eV/atom: -0.11
D(E_F) in states/eV/f.u.: 1.79
VASP energy in eV for the cell shown: -39.88

=====

# WSeIBr2

A relaxed WSeIBr2 crystal (PBE, Alexandria via LeMat-Bulk).

Cell: 5.129 5.129 4.978 Å, 90.00 90.00 90.00°
Space group P4/mmm (No. 123)
One atom of each set of equivalent atoms:
W: 0.000 0.000 0.000 [1 per cell]
Se: 0.000 0.000 0.500 [1 per cell]
I: 0.500 0.500 0.500 [1 per cell]
Br: 0.000 0.500 0.000 [2 per cell]

Results
ΔE to the lowest computed polymorph in meV per atom: 0
Density in g/cm³: 6.97
D(E_F) in states/eV/f.u.: 3.94
VASP energy in eV for the cell shown: -20.01
Raw formation energy in eV/atom: 0.26

=====

# POs2W

A relaxed POs2W crystal (PBE, Alexandria via LeMat-Bulk).

Cell: 2.881 2.881 6.732 Å, 90.00 90.00 90.00°
Space group P4mm (No. 99)
One atom of each set of equivalent atoms:
P: 0.000 0.000 0.000 [1 per cell]
Os: 0.000 0.000 0.507 [1 per cell]
Os: 0.500 0.500 0.795 [1 per cell]
W: 0.500 0.500 0.237 [1 per cell]

Results
Density in g/cm³: 17.69
Formation energy in eV/atom: 0.00
D(E_F) in states/eV/f.u.: 2.00
VASP energy in eV for the cell shown: -40.83

=====

# SrLiTbZn

A relaxed SrLiTbZn crystal (PBE, Alexandria via LeMat-Bulk).

Cell: 7.598 7.598 7.598 Å, 90.00 90.00 90.00°
Space group F-43m (No. 216)
One atom of each set of equivalent atoms:
Sr: 0.000 0.000 0.000 [4 per cell]
Li: 0.250 0.250 0.250 [4 per cell]
Tb: 0.000 0.000 0.500 [4 per cell]
Zn: 0.250 0.250 0.750 [4 per cell]

Results
Density in g/cm³: 4.83
Formation energy in eV/atom: -0.01
D(E_F) in states/eV/f.u.: 3.55
VASP energy in eV for the cell shown: -38.17

=====

# LaTc2Pb

A relaxed LaTc2Pb crystal (PBE, Alexandria via LeMat-Bulk).

Cell: 6.481 9.195 3.124 Å, 90.00 117.54 90.00°
Space group C2/m (No. 12)
One atom of each set of equivalent atoms:
La: 0.000 0.000 0.000 [2 per cell]
Tc: 0.250 0.250 0.500 [4 per cell]
Pb: 0.000 0.500 0.000 [2 per cell]

Results
Density in g/cm³: 10.91
Formation energy in eV/atom: 0.56
D(E_F) in states/eV/f.u.: 4.65
VASP energy in eV for the cell shown: -54.27

=====

# SrPrInI6

A relaxed SrPrInI6 crystal (PBE, Alexandria via LeMat-Bulk).

Cell: 8.2692 8.2692 15.1146 Å, 90.00 90.00 120.00°
Space group P-31c (No. 163)
One atom of each set of equivalent atoms:
Sr: 0.3333 0.6667 0.2500 [2 per cell]
Pr: 0.3333 0.6667 0.7500 [2 per cell]
In: 0.0000 0.0000 0.0000 [2 per cell]
I: 0.0131 0.3642 0.6287 [12 per cell]

Results
Density in g/cm³: 4.10
D(E_F) in states/eV/f.u.: 0.00
VASP energy in eV for the cell shown: -60.30
Raw formation energy in eV/atom: -1.29

=====

# Ca3CuGe

A relaxed Ca3CuGe crystal (PBE, Alexandria via LeMat-Bulk).

Cell: 5.644 5.644 5.644 Å, 90.00 90.00 90.00°
Space group Pm-3m (No. 221)
One atom of each set of equivalent atoms:
Ca: 0.000 0.000 0.500 [3 per cell]
Cu: 0.500 0.500 0.500 [1 per cell]
Ge: 0.000 0.000 0.000 [1 per cell]

Results
ΔE to the lowest computed polymorph in meV per atom: 0
Density in g/cm³: 2.37
Formation energy in eV/atom: 0.04
D(E_F) in states/eV/f.u.: 5.21
VASP energy in eV for the cell shown: -14.54

=====

# K2NaInCl6

A relaxed K2NaInCl6 crystal (PBE, Alexandria via LeMat-Bulk).

Cell: 10.523 10.523 10.523 Å, 90.00 90.00 90.00°
Space group Fm-3m (No. 225)
One atom of each set of equivalent atoms:
K: 0.250 0.250 0.250 [8 per cell]
Na: 0.000 0.000 0.000 [4 per cell]
In: 0.000 0.000 0.500 [4 per cell]
Cl: 0.000 0.000 0.259 [24 per cell]

Results
Density in g/cm³: 2.44
D(E_F) in states/eV/f.u.: 0.00
VASP energy in eV for the cell shown: -132.89
Raw formation energy in eV/atom: -1.59

=====

# Tl3MoI2Br6

A relaxed Tl3MoI2Br6 crystal (PBE, Alexandria via LeMat-Bulk).

Cell: 16.096 8.844 6.602 Å, 90.00 90.41 90.00°
Space group C2/m (No. 12)
One atom of each set of equivalent atoms:
Tl: 0.000 0.000 0.000 [2 per cell]
Tl: 0.250 0.250 0.500 [4 per cell]
Mo: 0.000 0.500 0.500 [2 per cell]
I: 0.192 0.000 0.851 [4 per cell]
Br: 0.067 0.297 0.282 [8 per cell]
Br: 0.128 0.500 0.726 [4 per cell]

Results
Density in g/cm³: 5.10
D(E_F) in states/eV/f.u.: 7.91
VASP energy in eV for the cell shown: -75.69
Raw formation energy in eV/atom: -0.56